# 1
12
Lattice="-0.039 -5.811 -1.896 0.874 0.446 6.033 -5.430 2.474 -1.327" Properties=species:S:1:pos:R:3 comment="CdTe2RhO8 | Alexandria | PBE-GGA | relaxed" formation_energy_uncorrected_ev_per_atom=-0.534 spacegroup="I-4m2, No. 119" pbc="T T T"
O -4.235 0.175 -0.974
Cd 0.000 0.000 0.000
O -0.664 -1.108 2.274
Rh -2.069 0.119 3.387
O -3.716 -2.658 -1.949
O -0.545 -4.342 2.166
O -1.642 -1.391 -0.726
O -3.744 -0.507 2.154
O -1.508 -4.549 -0.710
O -3.236 -3.441 1.075
Te 0.418 -2.683 2.068
Te -2.525 -3.010 -0.577



# 2
9
Lattice="5.981 0.000 0.000 0.000 5.981 0.000 -2.991 -2.991 7.325" Properties=species:S:1:pos:R:3 comment="HoMg6Sc2 | Alexandria | PBE-GGA | relaxed" spacegroup="I-42m, No. 121" formation_enthalpy_0k_ev_per_atom=0.45 polymorph_energy_mev_per_atom=476 pbc="T T T"
Mg -1.982 -1.982 5.892
Mg 0.000 2.991 3.663
Mg 4.972 1.009 1.434
Mg 1.009 4.972 1.434
Mg 2.991 0.000 3.663
Sc 0.000 0.000 4.287
Mg 1.982 1.982 5.892
Ho 2.991 2.991 0.000
Sc 2.991 2.991 3.039



# 3
8
Lattice="4.259 0.000 0.000 0.000 4.259 0.000 2.129 2.129 8.893" Properties=species:S:1:pos:R:3 comment="CaV2P | Alexandria | PBE-GGA | relaxed" spacegroup="I-42d, No. 122" formation_enthalpy_0k_ev_per_atom=0.09 pbc="T T T"
Ca 0.000 0.000 0.000
V 2.145 1.065 2.223
P 2.129 2.129 0.000
V 3.194 4.243 6.670
P 2.129 4.259 4.446
V 5.323 4.274 6.670
V 2.113 3.194 2.223
Ca 4.259 2.129 4.446



# 4
4
Lattice="5.228 0.000 0.000 0.000 5.032 0.000 0.000 0.000 5.032" Properties=species:S:1:pos:R:3 comment="LaCe2Eu | Alexandria | PBE-GGA | relaxed" spacegroup="P4/mmm, No. 123" formation_enthalpy_0k_ev_per_atom=0.20 polymorph_energy_mev_per_atom=0 pbc="T T T"
La 2.614 0.000 0.000
Ce 0.000 2.516 0.000
Eu 2.614 2.516 2.516
Ce 0.000 0.000 2.516